Record 1
First-principles (PBE-GGA) data for an optimized crystal structure of HgMo, as listed in Alexandria.

As for the theoretical density: 13.1 Mg/m³. The calculation puts the formation energy at 1.20 eV per formula unit.

Cell lengths 5.1667, 5.1667, 4.6746 Å; angles 93.79, 93.79, 64.84 degrees
Atoms (fractional coordinates):
Hg 0.0000 0.0000 0.0000
Hg 0.6166 0.0333 0.5029
Hg 0.9667 0.3834 0.4971
Mo 0.3336 0.6664 0.5000
Mo 0.3380 0.3745 0.0207
Mo 0.6255 0.6620 0.9793

=====

Record 2
First-principles (PBE-GGA) data for an optimized crystal structure of HgMo, as listed in Alexandria.

As for the theoretical density: 7.5 Mg/m³. The calculation puts the formation energy at 4.39 eV per formula unit.

Cell lengths 4.5255, 4.5255, 4.5255 Å; angles 60.00, 60.00, 60.00 degrees
Atoms (fractional coordinates):
Hg 0.0000 0.0000 0.0000
Mo 0.7500 0.7500 0.7500

=====

Record 3
First-principles (PBE-GGA) data for an optimized crystal structure of HgMo, as listed in Alexandria.

As for the theoretical density: 13.6 Mg/m³. The calculation puts the formation energy at 1.30 eV per formula unit.

Cell lengths 2.8219, 2.8219, 4.5306 Å; angles 90.00, 90.00, 90.00 degrees
Atoms (fractional coordinates):
Hg 0.0000 0.0000 0.0000
Mo 0.5000 0.5000 0.5000

=====

Record 4
First-principles (PBE-GGA) data for an optimized crystal structure of Hg3Mo, as listed in Alexandria.

As for the theoretical density: 14.3 Mg/m³. The calculation puts the formation energy at 2.00 eV per formula unit.

Cell lengths 5.8464, 5.8464, 5.8464 Å; angles 150.29, 64.34, 124.37 degrees
Atoms (fractional coordinates):
Hg 0.0000 0.0000 0.0000
Hg 0.4285 0.6643 0.7642
Hg 0.9001 0.6643 0.2358
Mo 0.4647 0.9647 0.5000

=====

Record 5
First-principles (PBE-GGA) data for an optimized crystal structure of HgMo, as listed in Alexandria.

As for the theoretical density: 12.1 Mg/m³. The calculation puts the formation energy at 1.41 eV per formula unit.

Cell lengths 7.3576, 4.0188, 5.4894 Å; angles 90.00, 90.00, 90.00 degrees
Atoms (fractional coordinates):
Hg 0.1814 0.2500 0.1245
Hg 0.3186 0.7500 0.6245
Hg 0.6814 0.2500 0.3755
Hg 0.8186 0.7500 0.8755
Mo 0.0326 0.2500 0.6283
Mo 0.4674 0.7500 0.1283
Mo 0.5326 0.2500 0.8717
Mo 0.9674 0.7500 0.3717

=====

Record 6
First-principles (PBE-GGA) data for an optimized crystal structure of HgMo, as listed in Alexandria.

As for the theoretical density: 11.9 Mg/m³. The calculation puts the formation energy at 1.34 eV per formula unit.

Cell lengths 5.7523, 5.7523, 5.7523 Å; angles 43.89, 43.89, 43.89 degrees
Atoms (fractional coordinates):
Hg 0.1129 0.1129 0.1129
Hg 0.8871 0.8871 0.8871
Mo 0.3331 0.3331 0.3331
Mo 0.6669 0.6669 0.6669

=====

Record 7
First-principles (PBE-GGA) data for an optimized crystal structure of Hg2Mo, as listed in Alexandria.

As for the theoretical density: 13.9 Mg/m³. The calculation puts the formation energy at 1.66 eV per formula unit.

Cell lengths 14.3193, 14.3193, 14.3193 Å; angles 168.40, 168.40, 16.44 degrees
Atoms (fractional coordinates):
Hg 0.2975 0.5475 0.7500
Hg 0.4525 0.7025 0.7500
Hg 0.5475 0.2975 0.2500
Hg 0.7025 0.4525 0.2500
Mo 0.1250 0.8750 0.2500
Mo 0.8750 0.1250 0.7500

=====

Record 8
First-principles (PBE-GGA) data for an optimized crystal structure of Hg3Mo, as listed in Alexandria.

As for the theoretical density: 12.6 Mg/m³. The calculation puts the formation energy at 1.23 eV per formula unit.

Cell lengths 8.3015, 8.3015, 3.1829 Å; angles 90.00, 90.00, 123.22 degrees
Atoms (fractional coordinates):
Hg 0.2134 0.4094 0.2500
Hg 0.2414 0.7586 0.7500
Hg 0.4094 0.2134 0.7500
Hg 0.5906 0.7866 0.2500
Hg 0.7586 0.2414 0.2500
Hg 0.7866 0.5906 0.7500
Mo 0.0616 0.9384 0.2500
Mo 0.9384 0.0616 0.7500

=====

Record 9
First-principles (PBE-GGA) data for an optimized crystal structure of Hg3Mo, as listed in Alexandria.

As for the theoretical density: 14.0 Mg/m³. The calculation puts the formation energy at 2.03 eV per formula unit.

Cell lengths 10.1841, 10.1841, 10.1841 Å; angles 17.42, 17.42, 17.42 degrees
Atoms (fractional coordinates):
Hg 0.0000 0.0000 0.0000
Hg 0.2441 0.2441 0.2441
Hg 0.7559 0.7559 0.7559
Mo 0.5000 0.5000 0.5000

=====

Record 10
First-principles (PBE-GGA) data for an optimized crystal structure of HgMo, as listed in Alexandria.

As for the theoretical density: 12.9 Mg/m³. The calculation puts the formation energy at 0.99 eV per formula unit.

Cell lengths 3.0520, 3.0520, 14.1921 Å; angles 90.00, 90.00, 120.00 degrees
Atoms (fractional coordinates):
Hg 0.0000 0.0000 0.0000
Hg 0.0000 0.0000 0.3347
Hg 0.6667 0.3333 0.5235
Mo 0.0000 0.0000 0.6978
Mo 0.6667 0.3333 0.1682
Mo 0.6667 0.3333 0.8245

=====

Record 11
First-principles (PBE-GGA) data for an optimized crystal structure of Hg4Mo5, as listed in Alexandria.

As for the theoretical density: 13.1 Mg/m³. The calculation puts the formation energy at 4.52 eV per formula unit.

Cell lengths 6.6003, 6.6003, 6.6003 Å; angles 95.63, 95.63, 143.51 degrees
Atoms (fractional coordinates):
Hg 0.0000 0.3252 0.3252
Hg 0.0000 0.6748 0.6748
Hg 0.3252 0.0000 0.3252
Hg 0.6748 0.0000 0.6748
Mo 0.0000 0.0000 0.0000
Mo 0.3502 0.3502 0.7004
Mo 0.3502 0.6498 0.0000
Mo 0.6498 0.3502 0.0000
Mo 0.6498 0.6498 0.2996

=====

Record 12
First-principles (PBE-GGA) data for an optimized crystal structure of HgMo5, as listed in Alexandria.

As for the theoretical density: 11.2 Mg/m³. The calculation puts the formation energy at 3.06 eV per formula unit.

Cell lengths 2.8144, 2.8144, 14.7229 Å; angles 90.00, 90.00, 120.00 degrees
Atoms (fractional coordinates):
Hg 0.0000 0.0000 0.0000
Mo 0.0000 0.0000 0.3366
Mo 0.0000 0.0000 0.6634
Mo 0.6667 0.3333 0.1757
Mo 0.6667 0.3333 0.5000
Mo 0.6667 0.3333 0.8243